Entry P
Ga2Ag2O5: optimized geometry, GGA-PBE.

```
Ga2Ag2O5
1.0
-0.082 2.947 7.734
-1.975 -3.016 1.128
3.219 -1.834 0.733
Ag Ga O
2 2 5
direct
0.234 0.500 0.500
0.766 0.500 0.500
0.000 0.000 0.000
0.500 0.000 0.000
0.143 0.500 0.000
0.857 0.500 0.000
0.143 0.000 0.500
0.857 0.000 0.500
0.500 0.500 0.500
```

Crystal system   tetragonal

---

Entry Q
Ga2Ag2O5: optimized geometry, GGA-PBE.

```
Ga2Ag2O5
1.0
7.784 0.000 0.000
0.000 3.705 0.000
0.000 0.000 3.705
Ag Ga O
2 2 5
direct
0.000 0.000 0.000
0.500 0.000 0.000
0.260 0.500 0.500
0.740 0.500 0.500
0.183 0.500 0.000
0.817 0.500 0.000
0.183 0.000 0.500
0.817 0.000 0.500
0.500 0.500 0.500
```

Crystal system   tetragonal

---

Comparing the structures above, entry Q comes out on top by 56.7 kJ/mol of atoms.